Record 1
The following is a PBEsol calculation of crystalline CuHgPbO2 at its relaxed geometry, from the Alexandria database.

```
CuHgPbO2
1.0
4.090 0.000 0.000
0.000 4.090 0.000
0.000 0.000 5.637
Cu Hg Pb O
1 1 1 2
direct
0.000 0.000 0.000
0.500 0.500 0.000
0.000 0.000 0.500
0.000 0.500 0.500
0.500 0.000 0.500
```

Computed properties:
Its density is 8.9 Mg/m³. The value obtained for the uncorrected formation energy is 23.0 kJ/mol of atoms.



Record 2
The following is a PBEsol calculation of crystalline Al2TeSe at its relaxed geometry, from the Alexandria database.

```
Al2TeSe
1.0
-1.896 1.896 6.832
1.896 -1.896 6.832
1.896 1.896 -6.832
Al Te Se
2 1 1
direct
0.000 0.000 0.000
0.750 0.250 0.500
0.250 0.750 0.500
0.500 0.500 0.000
```

Computed properties:
Its density is 4.4 Mg/m³. The value obtained for the uncorrected formation energy is 0.6 kJ/mol of atoms. The energy above the most stable polymorph in this dataset is 329 meV per atom.



Record 3
The following is a PBEsol calculation of crystalline CaSc2As at its relaxed geometry, from the Alexandria database.

```
CaSc2As
1.0
1.860 1.074 8.981
-1.860 1.074 8.981
0.000 -2.148 8.981
Ca Sc As
1 2 1
direct
0.000 0.000 0.000
0.543 0.543 0.543
0.780 0.780 0.780
0.264 0.264 0.264
```

Computed properties:
Its density is 3.2 Mg/m³. The calculation puts the formation energy at -0.384 eV/atom.